RbVZn (GGA-PBE, optimized geometry); total moment = 4.18 μB per formula unit; formation enthalpy at 0 K = 1.0877 eV per atom; density of states at the Fermi level = 10.66 states/eV per cell
1.0
-4.2571 -0.0034 3.3987
4.9838 -1.1472 1.8760
0.9595 6.1438 1.2079
Zn Rb V
2 2 2
direct
0.3333 0.6667 0.0006
0.6667 0.3333 0.5006
0.0000 0.0000 0.7499
0.0000 0.0000 0.2499
0.3333 0.6667 0.4995
0.6667 0.3333 0.9995